Here is PtRh after structural relaxation from Alexandria. Energies are from PBE-GGA.

## Properties
- DOS(E_F) (states/eV per atom) = 2.06
- ΔE_f (eV per atom) = 1.089
- total energy (hartree per atom) = -0.206
- SG = No. 216
- calculated volume (Å³/f.u.) = 45

a b c (Å): 4.0024 4.0024 4.0024
angles (deg): 60.00 60.00 60.00
With the nearest neighbours (Å) after each atom.
Element x y z (fractional)
1 Pt 0.0000 0.0000 0.0000  4 Rh 2.45
2 Rh 0.2500 0.2500 0.2500  4 Pt 2.45



Here is Pt3Rh after structural relaxation from Alexandria. Energies are from PBE-GGA.

## Properties
- DOS(E_F) (states/eV per atom) = 1.98
- ΔE_f (eV per atom) = -0.014
- total energy (hartree per atom) = -0.235
- SG = No. 47
- calculated volume (Å³/f.u.) = 61

a b c (Å): 2.7828 3.9096 5.6236
angles (deg): 90.00 90.00 90.00
With the nearest neighbours (Å) after each atom.
Element x y z (fractional)
1 Pt 0.0000 0.0000 0.0000  10 Pt 2.78-2.79, 2 Rh 2.81
2 Pt 0.5000 0.5000 0.2545  8 Pt 2.76-2.86, 4 Rh 2.77
3 Pt 0.5000 0.5000 0.7455  8 Pt 2.76-2.86, 4 Rh 2.77
4 Rh 0.0000 0.0000 0.5000  10 Pt 2.77-2.81, 2 Rh 2.78